## A
VASP calculation (GGA-PBE) on an optimized crystal structure of Tm2GeSe.

```
data_Tm2GeSe
_cell_length_a 4.0752
_cell_length_b 4.0752
_cell_length_c 20.0865
_cell_angle_alpha 90.00
_cell_angle_beta 90.00
_cell_angle_gamma 120.00
_space_group_name_H-M_alt 'R -3 m'
_space_group_IT_number 166
_space_group_name_Hall '-R 3 2"'
loop_
_atom_site_label
_atom_site_type_symbol
_atom_site_fract_x
_atom_site_fract_y
_atom_site_fract_z
Tm1 Tm 0.0000 0.0000 0.2450
Ge1 Ge 0.0000 0.0000 0.5000
Se1 Se 0.0000 0.0000 0.0000
```

***

## B
VASP calculation (GGA-PBE) on an optimized crystal structure of Tm2GeSe.

```
data_Tm2GeSe
_cell_length_a 4.0342
_cell_length_b 4.0342
_cell_length_c 20.9498
_cell_angle_alpha 90.00
_cell_angle_beta 90.00
_cell_angle_gamma 120.00
_space_group_name_H-M_alt 'R 3 m'
_space_group_IT_number 160
_space_group_name_Hall 'R 3 -2"'
loop_
_atom_site_label
_atom_site_type_symbol
_atom_site_fract_x
_atom_site_fract_y
_atom_site_fract_z
Tm1 Tm 0.0000 0.0000 0.0000
Tm2 Tm 0.0000 0.0000 0.1816
Ge1 Ge 0.0000 0.0000 0.5916
Se1 Se 0.0000 0.0000 0.4217
```

***

It is A that is most stable; the runner-up trails by 10.8 kJ/mol of atoms.